Material: Th2Ge3Ir4Pt
Method: DFT, PBE
State: optimized geometry

Properties
Energy ... -7.764 eV/atom
SG ... P-4m2 (115)
Energy of formation ... -720 kJ/mol of formula units
Theoretical density ... 14447 kg/m³
Crystal system ... tetragonal

abc: 4.1693 4.1693 10.8835
angles: 90.00 90.00 90.00
Last column: nearest neighbours and their distance in Å.
Atoms (fractional coordinates):
Th 0.0000 0.5000 0.2453  8 Ir 3.11-3.47, 6 Ge 3.27-3.39, 2 Pt 3.39
Th 0.5000 0.0000 0.7547  8 Ir 3.11-3.47, 6 Ge 3.27-3.39, 2 Pt 3.39
Ge 0.0000 0.0000 0.0000  4 Ir 2.67, 4 Pt 2.95
Ge 0.0000 0.5000 0.6249  5 Ir 2.42-2.49
Ge 0.5000 0.0000 0.3751  5 Ir 2.42-2.49
Ir 0.0000 0.0000 0.5000  4 Ge 2.49
Ir 0.0000 0.5000 0.8471  3 Ge 2.42-2.67, 2 Pt 2.67
Ir 0.5000 0.0000 0.1529  3 Ge 2.42-2.67, 2 Pt 2.67
Ir 0.5000 0.5000 0.5000  4 Ge 2.49
Pt 0.5000 0.5000 0.0000  4 Ir 2.67, 4 Ge 2.95

=====

Material: ThGeIrPt
Method: DFT, PBE
State: optimized geometry

Properties
Energy ... -7.624 eV/atom
SG ... P4/nmm (129)
Energy of formation ... -343 kJ/mol of formula units
Theoretical density ... 14291 kg/m³
Crystal system ... tetragonal

abc: 4.0854 4.0854 9.6348
angles: 90.00 90.00 90.00
Last column: nearest neighbours and their distance in Å.
Atoms (fractional coordinates):
Th 0.2500 0.2500 0.2252  5 Pt 3.04-3.17, 4 Ge 3.14, 4 Ir 3.34
Th 0.7500 0.7500 0.7748  5 Pt 3.04-3.17, 4 Ge 3.14, 4 Ir 3.34
Ge 0.2500 0.2500 0.6462  4 Ir 2.48, 1 Pt 2.54
Ge 0.7500 0.7500 0.3538  4 Ir 2.48, 1 Pt 2.54
Ir 0.2500 0.7500 0.5000  4 Ge 2.48
Ir 0.7500 0.2500 0.5000  4 Ge 2.48
Pt 0.2500 0.2500 0.9100  1 Ge 2.54
Pt 0.7500 0.7500 0.0900  1 Ge 2.54

=====

Material: Th2Ge3IrPt4
Method: DFT, PBE
State: optimized geometry

Properties
Energy ... -6.954 eV/atom
SG ... P-4m2 (115)
Energy of formation ... -755 kJ/mol of formula units
Theoretical density ... 14213 kg/m³
Crystal system ... tetragonal

abc: 4.1297 4.1297 11.3344
angles: 90.00 90.00 90.00
Last column: nearest neighbours and their distance in Å.
Atoms (fractional coordinates):
Th 0.0000 0.5000 0.2389  4 Pt 3.06, 6 Ge 3.29-3.41, 2 Ir 3.41
Th 0.5000 0.0000 0.7611  4 Pt 3.06, 6 Ge 3.29-3.41, 2 Ir 3.41
Ge 0.0000 0.0000 0.0000  4 Pt 2.74, 4 Ir 2.92
Ge 0.0000 0.5000 0.6274  5 Pt 2.42-2.52
Ge 0.5000 0.0000 0.3726  5 Pt 2.42-2.52
Ir 0.5000 0.5000 0.0000  4 Pt 2.74, 4 Ge 2.92
Pt 0.0000 0.0000 0.5000  4 Ge 2.52
Pt 0.0000 0.5000 0.8413  1 Ge 2.42
Pt 0.5000 0.0000 0.1587  1 Ge 2.42
Pt 0.5000 0.5000 0.5000  4 Ge 2.52

=====

Material: Y2Ge4Ir3Pt
Method: DFT, PBE
State: optimized geometry

Properties
Energy ... -7.180 eV/atom
SG ... P-4m2 (115)
Energy of formation ... -750 kJ/mol of formula units
Theoretical density ... 11271 kg/m³
Crystal system ... tetragonal

abc: 4.2020 4.2020 10.3473
angles: 90.00 90.00 90.00
Last column: nearest neighbours and their distance in Å.
Atoms (fractional coordinates):
Y 0.0000 0.5000 0.2422  6 Ir 3.19-3.40, 8 Ge 3.22-3.27, 2 Pt 3.40
Y 0.5000 0.0000 0.7578  6 Ir 3.19-3.40, 8 Ge 3.22-3.27, 2 Pt 3.40
Ge 0.0000 0.0000 0.0000  4 Ir 2.49
Ge 0.0000 0.5000 0.6380  3 Ir 2.41-2.54, 2 Pt 2.54
Ge 0.5000 0.0000 0.3620  3 Ir 2.41-2.54, 2 Pt 2.54
Ge 0.5000 0.5000 0.0000  4 Ir 2.49
Ir 0.0000 0.5000 0.8710  5 Ge 2.41-2.49
Ir 0.5000 0.0000 0.1290  5 Ge 2.41-2.49
Ir 0.5000 0.5000 0.5000  4 Ge 2.54
Pt 0.0000 0.0000 0.5000  4 Ge 2.54

=====

Material: Pu5Ge4Ir2
Method: DFT, PBE
State: optimized geometry

Properties
Energy ... -9.896 eV/atom
SG ... C2/m (12)
Energy of formation ... -96 kJ/mol of formula units
Theoretical density ... 14539 kg/m³
Crystal system ... monoclinic

abc: 8.4205 8.4205 8.1877
angles: 113.31 113.31 24.06
Last column: nearest neighbours and their distance in Å.
Atoms (fractional coordinates):
Pu 0.0000 0.0000 0.0000  4 Pu 3.02-3.35, 4 Ge 3.16
Pu 0.1802 0.1802 0.3084  1 Pu 2.45
Pu 0.2103 0.2103 0.0383  3 Pu 2.42-2.45
Pu 0.7897 0.7897 0.9617  3 Pu 2.42-2.45
Pu 0.8198 0.8198 0.6916  1 Pu 2.45
Ge 0.1642 0.1642 0.6524  2 Ir 2.54, 2 Ge 2.70
Ge 0.4229 0.4229 0.2253  1 Ir 2.44, 2 Ge 2.70
Ge 0.5771 0.5771 0.7747  1 Ir 2.44, 2 Ge 2.70
Ge 0.8358 0.8358 0.3476  2 Ir 2.54, 2 Ge 2.70
Ir 0.4190 0.4190 0.5793  3 Ge 2.44-2.54
Ir 0.5810 0.5810 0.4207  3 Ge 2.44-2.54

=====

Material: Pu2Ge2Ir
Method: DFT, PBE
State: optimized geometry

Properties
Excess energy over the best structure of this formula in the dataset ... 0.0 meV per atom
Energy ... -9.900 eV/atom
SG ... C2/m (12)
Energy of formation ... -265 kJ/mol of formula units
Theoretical density ... 13099 kg/m³
Crystal system ... monoclinic

abc: 5.7030 5.7030 10.0484
angles: 111.29 111.29 44.11
Last column: nearest neighbours and their distance in Å.
Atoms (fractional coordinates):
Pu 0.0046 0.0046 0.3362  3 Ir 2.92-3.19, 6 Ge 3.00-3.19
Pu 0.1927 0.1927 0.1060  2 Ir 2.99, 6 Ge 3.02-3.15
Pu 0.8073 0.8073 0.8940  2 Ir 2.99, 6 Ge 3.02-3.15
Pu 0.9954 0.9954 0.6638  3 Ir 2.92-3.19, 6 Ge 3.00-3.19
Ge 0.3420 0.3420 0.4445  3 Ir 2.54-2.68
Ge 0.4839 0.4839 0.1202  1 Ir 2.56, 1 Ge 2.57
Ge 0.5161 0.5161 0.8798  1 Ir 2.56, 1 Ge 2.57
Ge 0.6580 0.6580 0.5555  3 Ir 2.54-2.68
Ir 0.2764 0.2764 0.6763  4 Ge 2.54-2.68
Ir 0.7236 0.7236 0.3237  4 Ge 2.54-2.68